Entry P
A geometry-optimized KTaP3 structure. Source: Alexandria via LeMat-Bulk, functional PBE.

CIF file:
```
data_KTaP3
_symmetry_space_group_name_H-M 'P 1'
_symmetry_Int_Tables_number 1
_cell_length_a 4.8095
_cell_length_b 4.8095
_cell_length_c 4.8095
_cell_angle_alpha 90.00
_cell_angle_beta 90.00
_cell_angle_gamma 90.00
loop_
_symmetry_equiv_pos_as_xyz
'x,y,z'
loop_
_atom_site_label
_atom_site_type_symbol
_atom_site_fract_x
_atom_site_fract_y
_atom_site_fract_z
_atom_site_occupancy
K1 K 0.0000 0.0000 0.0000 1
Ta1 Ta 0.5000 0.5000 0.5000 1
P1 P 0.0000 0.0000 0.5000 1
P2 P 0.0000 0.5000 0.0000 1
P3 P 0.5000 0.0000 0.0000 1
```

## Properties
Spin magnetization: 0.00 μB/atom
Space-group type: Pm-3m (221)
Calculated density: 4.67 g/cm3

=====

Entry Q
A geometry-optimized KTaP3 structure. Source: Alexandria via LeMat-Bulk, functional PBE.

CIF file:
```
data_KTaP3
_symmetry_space_group_name_H-M 'P 1'
_symmetry_Int_Tables_number 1
_cell_length_a 4.8960
_cell_length_b 4.8960
_cell_length_c 4.8960
_cell_angle_alpha 90.00
_cell_angle_beta 90.00
_cell_angle_gamma 90.00
loop_
_symmetry_equiv_pos_as_xyz
'x,y,z'
loop_
_atom_site_label
_atom_site_type_symbol
_atom_site_fract_x
_atom_site_fract_y
_atom_site_fract_z
_atom_site_occupancy
K1 K 0.0000 0.0000 0.0000 1
Ta1 Ta 0.5000 0.5000 0.5000 1
P1 P 0.0000 0.5000 0.5000 1
P2 P 0.5000 0.0000 0.5000 1
P3 P 0.5000 0.5000 0.0000 1
```

## Properties
Spin magnetization: 0.00 μB/atom
Space-group type: Pm-3m (221)
Calculated density: 4.43 g/cm3

=====

Stability ranking, top entry: entry Q; the second entry is 2514 meV per atom less favorable.

=====

Entry P
A geometry-optimized KTcP structure. Source: Alexandria via LeMat-Bulk, functional PBE.

CIF file:
```
data_KTcP
_symmetry_space_group_name_H-M 'P 1'
_symmetry_Int_Tables_number 1
_cell_length_a 3.9230
_cell_length_b 3.9230
_cell_length_c 5.6539
_cell_angle_alpha 90.00
_cell_angle_beta 90.00
_cell_angle_gamma 120.00
loop_
_symmetry_equiv_pos_as_xyz
'x,y,z'
loop_
_atom_site_label
_atom_site_type_symbol
_atom_site_fract_x
_atom_site_fract_y
_atom_site_fract_z
_atom_site_occupancy
K1 K 0.0000 0.0000 0.0000 1
Tc1 Tc 0.3333 0.6667 0.5000 1
P1 P 0.6667 0.3333 0.5000 1
```

## Properties
Spin magnetization: 0.00 μB/atom
Space-group type: P-6m2 (187)
Calculated density: 3.70 g/cm3

=====

Entry Q
A geometry-optimized KTcP structure. Source: Alexandria via LeMat-Bulk, functional PBE.

CIF file:
```
data_KTcP
_symmetry_space_group_name_H-M 'P 1'
_symmetry_Int_Tables_number 1
_cell_length_a 4.0601
_cell_length_b 4.0601
_cell_length_c 10.0532
_cell_angle_alpha 90.00
_cell_angle_beta 90.00
_cell_angle_gamma 90.00
loop_
_symmetry_equiv_pos_as_xyz
'x,y,z'
loop_
_atom_site_label
_atom_site_type_symbol
_atom_site_fract_x
_atom_site_fract_y
_atom_site_fract_z
_atom_site_occupancy
K1 K 0.2500 0.2500 0.2039 1
K2 K 0.7500 0.7500 0.7961 1
Tc1 Tc 0.2500 0.7500 0.5000 1
Tc2 Tc 0.7500 0.2500 0.5000 1
P1 P 0.2500 0.2500 0.6226 1
P2 P 0.7500 0.7500 0.3774 1
```

## Properties
Spin magnetization: 0.00 μB/atom
Space-group type: P4/nmm (129)
Calculated density: 3.37 g/cm3

=====

Stability ranking, top entry: entry Q; the second entry is 435 meV per atom less favorable.

=====

Entry P
A geometry-optimized KTcP structure. Source: Alexandria via LeMat-Bulk, functional PBE.

CIF file:
```
data_KTcP
_symmetry_space_group_name_H-M 'P 1'
_symmetry_Int_Tables_number 1
_cell_length_a 6.1933
_cell_length_b 6.1933
_cell_length_c 6.1933
_cell_angle_alpha 90.00
_cell_angle_beta 90.00
_cell_angle_gamma 90.00
loop_
_symmetry_equiv_pos_as_xyz
'x,y,z'
loop_
_atom_site_label
_atom_site_type_symbol
_atom_site_fract_x
_atom_site_fract_y
_atom_site_fract_z
_atom_site_occupancy
K1 K 0.0000 0.0000 0.0000 1
K2 K 0.0000 0.5000 0.5000 1
K3 K 0.5000 0.0000 0.5000 1
K4 K 0.5000 0.5000 0.0000 1
Tc1 Tc 0.2500 0.2500 0.2500 1
Tc2 Tc 0.2500 0.7500 0.7500 1
Tc3 Tc 0.7500 0.2500 0.7500 1
Tc4 Tc 0.7500 0.7500 0.2500 1
P1 P 0.0000 0.0000 0.5000 1
P2 P 0.0000 0.5000 0.0000 1
P3 P 0.5000 0.0000 0.0000 1
P4 P 0.5000 0.5000 0.5000 1
```

## Properties
Spin magnetization: 0.00 μB/atom
Space-group type: F-43m (216)
Calculated density: 4.70 g/cm3

=====

Entry Q
A geometry-optimized KTcP structure. Source: Alexandria via LeMat-Bulk, functional PBE.

CIF file:
```
data_KTcP
_symmetry_space_group_name_H-M 'P 1'
_symmetry_Int_Tables_number 1
_cell_length_a 4.9006
_cell_length_b 4.9006
_cell_length_c 2.6473
_cell_angle_alpha 90.00
_cell_angle_beta 90.00
_cell_angle_gamma 120.00
loop_
_symmetry_equiv_pos_as_xyz
'x,y,z'
loop_
_atom_site_label
_atom_site_type_symbol
_atom_site_fract_x
_atom_site_fract_y
_atom_site_fract_z
_atom_site_occupancy
K1 K 0.0000 0.0000 0.0000 1
Tc1 Tc 0.3333 0.6667 0.5000 1
P1 P 0.6667 0.3333 0.5000 1
```

## Properties
Spin magnetization: 0.18 μB/atom
Space-group type: P-6m2 (187)
Calculated density: 5.07 g/cm3

=====

Entry R
A geometry-optimized KTcP structure. Source: Alexandria via LeMat-Bulk, functional PBE.

CIF file:
```
data_KTcP
_symmetry_space_group_name_H-M 'P 1'
_symmetry_Int_Tables_number 1
_cell_length_a 6.8982
_cell_length_b 6.8982
_cell_length_c 6.8982
_cell_angle_alpha 90.00
_cell_angle_beta 90.00
_cell_angle_gamma 90.00
loop_
_symmetry_equiv_pos_as_xyz
'x,y,z'
loop_
_atom_site_label
_atom_site_type_symbol
_atom_site_fract_x
_atom_site_fract_y
_atom_site_fract_z
_atom_site_occupancy
K1 K 0.0000 0.0000 0.0000 1
K2 K 0.0000 0.5000 0.5000 1
K3 K 0.5000 0.0000 0.5000 1
K4 K 0.5000 0.5000 0.0000 1
Tc1 Tc 0.2500 0.2500 0.2500 1
Tc2 Tc 0.2500 0.7500 0.7500 1
Tc3 Tc 0.7500 0.2500 0.7500 1
Tc4 Tc 0.7500 0.7500 0.2500 1
P1 P 0.2500 0.2500 0.7500 1
P2 P 0.2500 0.7500 0.2500 1
P3 P 0.7500 0.2500 0.2500 1
P4 P 0.7500 0.7500 0.7500 1
```

## Properties
Spin magnetization: 1.50 μB/atom
Space-group type: F-43m (216)
Calculated density: 3.40 g/cm3

=====

Entry S
A geometry-optimized KTcP structure. Source: Alexandria via LeMat-Bulk, functional PBE.

CIF file:
```
data_KTcP
_symmetry_space_group_name_H-M 'P 1'
_symmetry_Int_Tables_number 1
_cell_length_a 3.2199
_cell_length_b 3.2199
_cell_length_c 12.2227
_cell_angle_alpha 90.00
_cell_angle_beta 90.00
_cell_angle_gamma 90.00
loop_
_symmetry_equiv_pos_as_xyz
'x,y,z'
loop_
_atom_site_label
_atom_site_type_symbol
_atom_site_fract_x
_atom_site_fract_y
_atom_site_fract_z
_atom_site_occupancy
K1 K 0.0000 0.0000 0.0000 1
K2 K 0.5000 0.5000 0.5000 1
Tc1 Tc 0.0000 0.0000 0.2748 1
Tc2 Tc 0.5000 0.5000 0.7748 1
P1 P 0.0000 0.0000 0.7178 1
P2 P 0.5000 0.5000 0.2178 1
```

## Properties
Spin magnetization: 0.00 μB/atom
Space-group type: I4mm (107)
Calculated density: 4.40 g/cm3

=====

Stability ranking, top entry: entry S; the second entry is 897 meV per atom less favorable.

=====

Entry P
A geometry-optimized KTcP2 structure. Source: Alexandria via LeMat-Bulk, functional PBE.

CIF file:
```
data_KTcP2
_symmetry_space_group_name_H-M 'P 1'
_symmetry_Int_Tables_number 1
_cell_length_a 3.9741
_cell_length_b 3.9741
_cell_length_c 9.3604
_cell_angle_alpha 90.00
_cell_angle_beta 90.00
_cell_angle_gamma 90.00
loop_
_symmetry_equiv_pos_as_xyz
'x,y,z'
loop_
_atom_site_label
_atom_site_type_symbol
_atom_site_fract_x
_atom_site_fract_y
_atom_site_fract_z
_atom_site_occupancy
K1 K 0.0000 0.0000 0.0000 1
K2 K 0.5000 0.5000 0.5000 1
Tc1 Tc 0.0000 0.5000 0.2500 1
Tc2 Tc 0.5000 0.0000 0.7500 1
P1 P 0.0000 0.0000 0.5000 1
P2 P 0.0000 0.5000 0.7500 1
P3 P 0.5000 0.0000 0.2500 1
P4 P 0.5000 0.5000 0.0000 1
```

## Properties
Spin magnetization: 0.56 μB/atom
Space-group type: I-4m2 (119)
Calculated density: 4.47 g/cm3

=====

Entry Q
A geometry-optimized KTcP2 structure. Source: Alexandria via LeMat-Bulk, functional PBE.

CIF file:
```
data_KTcP2
_symmetry_space_group_name_H-M 'P 1'
_symmetry_Int_Tables_number 1
_cell_length_a 3.1948
_cell_length_b 3.1948
_cell_length_c 7.5921
_cell_angle_alpha 90.00
_cell_angle_beta 90.00
_cell_angle_gamma 90.00
loop_
_symmetry_equiv_pos_as_xyz
'x,y,z'
loop_
_atom_site_label
_atom_site_type_symbol
_atom_site_fract_x
_atom_site_fract_y
_atom_site_fract_z
_atom_site_occupancy
K1 K 0.0000 0.0000 0.0000 1
Tc1 Tc 0.5000 0.5000 0.6161 1
P1 P 0.0000 0.0000 0.5100 1
P2 P 0.5000 0.5000 0.3074 1
```

## Properties
Spin magnetization: 0.00 μB/atom
Space-group type: P4mm (99)
Calculated density: 4.27 g/cm3

=====

Stability ranking, top entry: entry Q; the second entry is 830 meV per atom less favorable.

=====

Entry P
A geometry-optimized KTcP2 structure. Source: Alexandria via LeMat-Bulk, functional PBE.

CIF file:
```
data_KTcP2
_symmetry_space_group_name_H-M 'P 1'
_symmetry_Int_Tables_number 1
_cell_length_a 7.7675
_cell_length_b 3.2444
_cell_length_c 6.9778
_cell_angle_alpha 90.00
_cell_angle_beta 94.84
_cell_angle_gamma 90.00
loop_
_symmetry_equiv_pos_as_xyz
'x,y,z'
loop_
_atom_site_label
_atom_site_type_symbol
_atom_site_fract_x
_atom_site_fract_y
_atom_site_fract_z
_atom_site_occupancy
K1 K 0.0000 0.0000 0.0000 1
K2 K 0.5000 0.5000 0.0000 1
Tc1 Tc 0.1391 0.5000 0.4644 1
Tc2 Tc 0.6391 0.0000 0.4644 1
P1 P 0.2629 0.0000 0.6832 1
P2 P 0.3359 0.0000 0.3725 1
P3 P 0.7629 0.5000 0.6832 1
P4 P 0.8359 0.5000 0.3725 1
```

## Properties
Spin magnetization: 0.00 μB/atom
Space-group type: Cm (8)
Calculated density: 3.77 g/cm3

=====

Entry Q
A geometry-optimized KTcP2 structure. Source: Alexandria via LeMat-Bulk, functional PBE.

CIF file:
```
data_KTcP2
_symmetry_space_group_name_H-M 'P 1'
_symmetry_Int_Tables_number 1
_cell_length_a 3.1598
_cell_length_b 3.1598
_cell_length_c 8.5174
_cell_angle_alpha 90.00
_cell_angle_beta 90.00
_cell_angle_gamma 90.00
loop_
_symmetry_equiv_pos_as_xyz
'x,y,z'
loop_
_atom_site_label
_atom_site_type_symbol
_atom_site_fract_x
_atom_site_fract_y
_atom_site_fract_z
_atom_site_occupancy
K1 K 0.0000 0.0000 0.0000 1
Tc1 Tc 0.5000 0.5000 0.5312 1
P1 P 0.0000 0.0000 0.6379 1
P2 P 0.5000 0.5000 0.2673 1
```

## Properties
Spin magnetization: 0.00 μB/atom
Space-group type: P4mm (99)
Calculated density: 3.89 g/cm3

=====

Stability ranking, top entry: entry P; the second entry is 227 meV per atom less favorable.

=====

Entry P
A geometry-optimized KTcP2 structure. Source: Alexandria via LeMat-Bulk, functional PBE.

CIF file:
```
data_KTcP2
_symmetry_space_group_name_H-M 'P 1'
_symmetry_Int_Tables_number 1
_cell_length_a 2.9956
_cell_length_b 2.9956
_cell_length_c 7.8575
_cell_angle_alpha 90.00
_cell_angle_beta 90.00
_cell_angle_gamma 90.00
loop_
_symmetry_equiv_pos_as_xyz
'x,y,z'
loop_
_atom_site_label
_atom_site_type_symbol
_atom_site_fract_x
_atom_site_fract_y
_atom_site_fract_z
_atom_site_occupancy
K1 K 0.0000 0.0000 0.0000 1
Tc1 Tc 0.0000 0.0000 0.5000 1
P1 P 0.5000 0.5000 0.3186 1
P2 P 0.5000 0.5000 0.6814 1
```

## Properties
Spin magnetization: 0.00 μB/atom
Space-group type: P4/mmm (123)
Calculated density: 4.69 g/cm3

=====

Entry Q
A geometry-optimized KTcP2 structure. Source: Alexandria via LeMat-Bulk, functional PBE.

CIF file:
```
data_KTcP2
_symmetry_space_group_name_H-M 'P 1'
_symmetry_Int_Tables_number 1
_cell_length_a 4.1110
_cell_length_b 6.4885
_cell_length_c 7.6087
_cell_angle_alpha 90.00
_cell_angle_beta 90.00
_cell_angle_gamma 90.00
loop_
_symmetry_equiv_pos_as_xyz
'x,y,z'
loop_
_atom_site_label
_atom_site_type_symbol
_atom_site_fract_x
_atom_site_fract_y
_atom_site_fract_z
_atom_site_occupancy
K1 K 0.0000 0.0000 0.0000 1
K2 K 0.5000 0.5000 0.5000 1
Tc1 Tc 0.0000 0.0000 0.5000 1
Tc2 Tc 0.5000 0.5000 0.0000 1
P1 P 0.0000 0.5000 0.1454 1
P2 P 0.0000 0.5000 0.8546 1
P3 P 0.5000 0.0000 0.3546 1
P4 P 0.5000 0.0000 0.6454 1
```

## Properties
Spin magnetization: 0.11 μB/atom
Space-group type: Immm (71)
Calculated density: 3.26 g/cm3

=====

Entry R
A geometry-optimized KTcP2 structure. Source: Alexandria via LeMat-Bulk, functional PBE.

CIF file:
```
data_KTcP2
_symmetry_space_group_name_H-M 'P 1'
_symmetry_Int_Tables_number 1
_cell_length_a 3.3197
_cell_length_b 3.3197
_cell_length_c 24.4499
_cell_angle_alpha 90.00
_cell_angle_beta 90.00
_cell_angle_gamma 120.00
loop_
_symmetry_equiv_pos_as_xyz
'x,y,z'
loop_
_atom_site_label
_atom_site_type_symbol
_atom_site_fract_x
_atom_site_fract_y
_atom_site_fract_z
_atom_site_occupancy
K1 K 0.0000 0.0000 0.0000 1
K2 K 0.3333 0.6667 0.6667 1
K3 K 0.6667 0.3333 0.3333 1
Tc1 Tc 0.0000 0.0000 0.5000 1
Tc2 Tc 0.3333 0.6667 0.1667 1
Tc3 Tc 0.6667 0.3333 0.8333 1
P1 P 0.0000 0.0000 0.2290 1
P2 P 0.0000 0.0000 0.7710 1
P3 P 0.3333 0.6667 0.4377 1
P4 P 0.3333 0.6667 0.8956 1
P5 P 0.6667 0.3333 0.1044 1
P6 P 0.6667 0.3333 0.5623 1
```

## Properties
Spin magnetization: 0.00 μB/atom
Space-group type: R-3m (166)
Calculated density: 4.25 g/cm3

=====

Stability ranking, top entry: entry P; the second entry is 104 meV per atom less favorable.